K2LiSb: optimized geometry, GGA-PBEsol.

It has space group Pmm2 (No. 25), with a = 3.482 Å, b = 4.434 Å, c = 9.793 Å, α = 90.00°, β = 90.00° and γ = 90.00°. The inequivalent atoms are K at (0.000, 0.000, 0.000), K at (0.500, 0.500, 0.404), Li at (0.000, 0.000, 0.683) and Sb at (0.500, 0.500, 0.760).

The uncorrected formation energy is -0.24 eV per atom. For the total DFT energy (no corrections), the calculation gives -2.4397 eV per atom.